Record 1
Entry from Alexandria via LeMat-Bulk: a geometry-optimized LiAlNi2 structure (PBEsol).

Output
Its crystal system is orthorhombic. The symmetry is Cmmm, No. 65. The value obtained for the formation enthalpy at 0 K is -0.34 eV/atom.

abc: 4.059 4.059 2.719
angles: 90.00 90.00 95.83
Element x y z (fractional)
Li: 0.000 0.000 0.000
Al: 0.500 0.500 0.000
Ni: 0.000 0.500 0.500
Ni: 0.500 0.000 0.500

=====

Record 2
Entry from Alexandria via LeMat-Bulk: a geometry-optimized In4Se3 structure (PBEsol).

Output
Its crystal system is orthorhombic. The symmetry is Pnnm, No. 58. The calculation puts the formation energy (no corrections) at -0.405 eV per atom.

abc: 12.224 14.932 4.115
angles: 90.00 90.00 90.00
Element x y z (fractional)
In: 0.023 0.184 0.000
In: 0.102 0.423 0.000
In: 0.144 0.027 0.000
In: 0.162 0.707 0.000
In: 0.338 0.207 0.500
In: 0.356 0.527 0.500
In: 0.398 0.923 0.500
In: 0.477 0.684 0.500
In: 0.523 0.316 0.500
In: 0.602 0.077 0.500
In: 0.644 0.473 0.500
In: 0.662 0.793 0.500
In: 0.838 0.293 0.000
In: 0.856 0.973 0.000
In: 0.898 0.577 0.000
In: 0.977 0.816 0.000
Se: 0.136 0.269 0.500
Se: 0.148 0.590 0.500
Se: 0.156 0.916 0.500
Se: 0.344 0.416 0.000
Se: 0.352 0.090 0.000
Se: 0.364 0.769 0.000
Se: 0.636 0.231 0.000
Se: 0.648 0.910 0.000
Se: 0.656 0.584 0.000
Se: 0.844 0.084 0.500
Se: 0.852 0.410 0.500
Se: 0.864 0.731 0.500

=====

Record 3
Entry from Alexandria via LeMat-Bulk: a geometry-optimized CdGa2Pt2 structure (PBEsol).

Output
Its crystal system is tetragonal. The symmetry is P4/mbm, No. 127. The value obtained for the energy above the most stable polymorph in this dataset is 0.0 meV per atom. The value obtained for the formation enthalpy at 0 K is -0.48 eV/atom.

abc: 7.270 7.270 3.047
angles: 90.00 90.00 90.00
Element x y z (fractional)
Cd: 0.000 0.000 0.000
Cd: 0.500 0.500 0.000
Ga: 0.151 0.349 0.500
Ga: 0.349 0.849 0.500
Ga: 0.651 0.151 0.500
Ga: 0.849 0.651 0.500
Pt: 0.146 0.646 0.000
Pt: 0.354 0.146 0.000
Pt: 0.646 0.854 0.000
Pt: 0.854 0.354 0.000

=====

Record 4
Entry from Alexandria via LeMat-Bulk: a geometry-optimized LiBi3O structure (PBEsol).

Output
Its crystal system is cubic. The symmetry is Pm-3m, No. 221. The calculation puts the formation energy (no corrections) at 0.567 eV per atom.

abc: 4.955 4.955 4.955
angles: 90.00 90.00 90.00
Element x y z (fractional)
Li: 0.000 0.000 0.000
Bi: 0.000 0.000 0.500
Bi: 0.000 0.500 0.000
Bi: 0.500 0.000 0.000
O: 0.500 0.500 0.500

=====

Record 5
Entry from Alexandria via LeMat-Bulk: a geometry-optimized MnCdTe2 structure (PBEsol).

Output
Its crystal system is trigonal. The symmetry is R3m, No. 160. The calculation puts the formation energy (no corrections) at 0.106 eV per atom.

abc: 7.062 7.062 7.062
angles: 34.62 34.62 34.62
Element x y z (fractional)
Mn: 0.000 0.000 0.000
Cd: 0.261 0.261 0.261
Te: 0.523 0.523 0.523
Te: 0.725 0.725 0.725

=====

Record 6
Entry from Alexandria via LeMat-Bulk: a geometry-optimized Y2Rh2Au structure (PBEsol).

Output
Its crystal system is tetragonal. The symmetry is I4/mmm, No. 139. The value obtained for the energy above the most stable polymorph in this dataset is 318.0 meV per atom. The value obtained for the formation enthalpy at 0 K is -0.44 eV/atom.

abc: 5.399 5.399 5.399
angles: 122.50 122.50 85.73
Element x y z (fractional)
Y: 0.250 0.750 0.500
Y: 0.750 0.250 0.500
Rh: 0.159 0.159 0.000
Rh: 0.841 0.841 0.000
Au: 0.500 0.500 0.000

=====

Record 7
Entry from Alexandria via LeMat-Bulk: a geometry-optimized Cs3GaSe3 structure (PBEsol).

Output
Its crystal system is monoclinic. The symmetry is P2_1/c, No. 14. The calculation puts the formation energy (no corrections) at -1.097 eV per atom.

abc: 8.508 13.577 11.255
angles: 90.00 126.94 90.00
Element x y z (fractional)
Cs: 0.122 0.128 0.480
Cs: 0.122 0.372 0.980
Cs: 0.149 0.075 0.887
Cs: 0.149 0.425 0.387
Cs: 0.370 0.696 0.597
Cs: 0.370 0.804 0.097
Cs: 0.630 0.196 0.903
Cs: 0.630 0.304 0.403
Cs: 0.851 0.575 0.613
Cs: 0.851 0.925 0.113
Cs: 0.878 0.628 0.020
Cs: 0.878 0.872 0.520
Ga: 0.431 0.055 0.339
Ga: 0.431 0.445 0.839
Ga: 0.569 0.555 0.161
Ga: 0.569 0.945 0.661
Se: 0.150 0.161 0.190
Se: 0.150 0.339 0.690
Se: 0.360 0.607 0.894
Se: 0.360 0.893 0.394
Se: 0.387 0.550 0.259
Se: 0.387 0.950 0.759
Se: 0.613 0.050 0.241
Se: 0.613 0.450 0.741
Se: 0.640 0.107 0.606
Se: 0.640 0.393 0.106
Se: 0.850 0.661 0.310
Se: 0.850 0.839 0.810

=====

Record 8
Entry from Alexandria via LeMat-Bulk: a geometry-optimized KFeRe2 structure (PBEsol).

Output
Its crystal system is monoclinic. The symmetry is C2/m, No. 12. The value obtained for the energy above the most stable polymorph in this dataset is 546.5 meV per atom. The value obtained for the formation enthalpy at 0 K is 1.43 eV/atom.

abc: 5.677 5.677 2.564
angles: 97.84 97.84 124.54
Element x y z (fractional)
K: 0.000 0.000 0.000
Fe: 0.500 0.500 0.000
Re: 0.000 0.500 0.500
Re: 0.500 0.000 0.500

=====

Record 9
Entry from Alexandria via LeMat-Bulk: a geometry-optimized Te3As2 structure (PBEsol).

Output
Its crystal system is trigonal. The symmetry is R-3m, No. 166. The calculation puts the formation energy (no corrections) at -0.019 eV per atom. The value obtained for the energy above the most stable polymorph in this dataset is 0.0 meV per atom.

abc: 9.790 9.790 9.790
angles: 23.88 23.88 23.88
Element x y z (fractional)
Te: 0.000 0.000 0.000
Te: 0.214 0.214 0.214
Te: 0.786 0.786 0.786
As: 0.397 0.397 0.397
As: 0.603 0.603 0.603

=====

Record 10
Entry from Alexandria via LeMat-Bulk: a geometry-optimized La2SnTeN structure (PBEsol).

Output
Its crystal system is tetragonal. The symmetry is P4/mmm, No. 123. The calculation puts the formation energy (no corrections) at -0.892 eV per atom.

abc: 5.223 5.223 4.431
angles: 90.00 90.00 90.00
Element x y z (fractional)
La: 0.000 0.500 0.000
La: 0.500 0.000 0.000
Sn: 0.000 0.000 0.500
Te: 0.500 0.500 0.500
N: 0.000 0.000 0.000

=====

Record 11
Entry from Alexandria via LeMat-Bulk: a geometry-optimized Rb2MgI structure (PBEsol).

Output
Its crystal system is tetragonal. The symmetry is I-42d, No. 122. The calculation puts the formation energy (no corrections) at -0.366 eV per atom.

abc: 8.317 8.317 8.317
angles: 105.88 105.88 116.92
Element x y z (fractional)
Rb: 0.094 0.625 0.969
Rb: 0.375 0.344 0.469
Rb: 0.656 0.125 0.031
Rb: 0.875 0.906 0.531
Mg: 0.250 0.750 0.500
Mg: 0.500 0.500 0.000
I: 0.000 0.000 0.000
I: 0.750 0.250 0.500

=====

Record 12
Entry from Alexandria via LeMat-Bulk: a geometry-optimized Fe3PtCl structure (PBEsol).

Output
Its crystal system is cubic. The symmetry is Pm-3m, No. 221. The calculation puts the formation energy (no corrections) at 0.611 eV per atom.

abc: 4.053 4.053 4.053
angles: 90.00 90.00 90.00
Element x y z (fractional)
Fe: 0.000 0.000 0.500
Fe: 0.000 0.500 0.000
Fe: 0.500 0.000 0.000
Pt: 0.500 0.500 0.500
Cl: 0.000 0.000 0.000

=====

Record 13
Entry from Alexandria via LeMat-Bulk: a geometry-optimized TcSb4Pt structure (PBEsol).

Output
Its crystal system is cubic. The symmetry is F-43m, No. 216. The calculation puts the formation energy (no corrections) at 1.165 eV per atom.

abc: 5.862 5.862 5.862
angles: 60.00 60.00 60.00
Element x y z (fractional)
Tc: 0.000 0.000 0.000
Sb: 0.126 0.625 0.625
Sb: 0.625 0.126 0.625
Sb: 0.625 0.625 0.126
Sb: 0.625 0.625 0.625
Pt: 0.250 0.250 0.250

=====

Record 14
Entry from Alexandria via LeMat-Bulk: a geometry-optimized CdSb2Se structure (PBEsol).

Output
Its crystal system is tetragonal. The symmetry is P4mm, No. 99. The calculation puts the formation energy (no corrections) at -0.148 eV per atom. The value obtained for the energy above the most stable polymorph in this dataset is 0.0 meV per atom.

abc: 4.239 4.239 5.812
angles: 90.00 90.00 90.00
Element x y z (fractional)
Cd: 0.000 0.000 0.000
Sb: 0.000 0.000 0.506
Sb: 0.500 0.500 0.478
Se: 0.500 0.500 0.021

=====

Record 15
Entry from Alexandria via LeMat-Bulk: a geometry-optimized KTi3Pb structure (PBEsol).

Output
Its crystal system is cubic. The symmetry is Pm-3m, No. 221. The value obtained for the formation enthalpy at 0 K is 1.26 eV/atom.

abc: 5.353 5.353 5.353
angles: 90.00 90.00 90.00
Element x y z (fractional)
K: 0.000 0.000 0.000
Ti: 0.000 0.500 0.500
Ti: 0.500 0.000 0.500
Ti: 0.500 0.500 0.000
Pb: 0.500 0.500 0.500

=====

Record 16
Entry from Alexandria via LeMat-Bulk: a geometry-optimized Ge2TeBr structure (PBEsol).

Output
Its crystal system is cubic. The symmetry is Fm-3m, No. 225. The calculation puts the formation energy (no corrections) at 0.061 eV per atom.

abc: 5.045 5.045 5.045
angles: 60.00 60.00 60.00
Element x y z (fractional)
Ge: 0.250 0.250 0.250
Ge: 0.750 0.750 0.750
Te: 0.000 0.000 0.000
Br: 0.500 0.500 0.500

=====

Record 17
Entry from Alexandria via LeMat-Bulk: a geometry-optimized SrIr structure (PBEsol).

Output
Its crystal system is orthorhombic. The symmetry is Imma, No. 74. The value obtained for the formation enthalpy at 0 K is 0.01 eV/atom.

abc: 5.690 5.690 5.690
angles: 134.25 126.74 72.78
Element x y z (fractional)
Sr: 0.353 0.103 0.250
Sr: 0.647 0.897 0.750
Ir: 0.044 0.294 0.750
Ir: 0.956 0.706 0.250

=====

Record 18
Entry from Alexandria via LeMat-Bulk: a geometry-optimized Ti3SiI structure (PBEsol).

Output
Its crystal system is cubic. The symmetry is Pm-3m, No. 221. The calculation puts the formation energy (no corrections) at 1.150 eV per atom.

abc: 4.860 4.860 4.860
angles: 90.00 90.00 90.00
Element x y z (fractional)
Ti: 0.000 0.000 0.500
Ti: 0.000 0.500 0.000
Ti: 0.500 0.000 0.000
Si: 0.500 0.500 0.500
I: 0.000 0.000 0.000

=====

Record 19
Entry from Alexandria via LeMat-Bulk: a geometry-optimized Te3P structure (PBEsol).

Output
Its crystal system is tetragonal. The symmetry is I4/mmm, No. 139. The calculation puts the formation energy (no corrections) at 0.492 eV per atom. The value obtained for the energy above the most stable polymorph in this dataset is 217.4 meV per atom.

abc: 14.946 14.946 14.946
angles: 164.56 164.56 21.90
Element x y z (fractional)
Te: 0.000 0.500 0.500
Te: 0.126 0.126 0.000
Te: 0.250 0.750 0.500
Te: 0.500 0.000 0.500
Te: 0.750 0.250 0.500
Te: 0.874 0.874 0.000
P: 0.389 0.389 0.000
P: 0.611 0.611 0.000

=====

Record 20
Entry from Alexandria via LeMat-Bulk: a geometry-optimized TePtAu structure (PBEsol).

Output
Its crystal system is trigonal. The symmetry is P3m1, No. 156. The calculation puts the formation energy (no corrections) at -0.019 eV per atom. The value obtained for the energy above the most stable polymorph in this dataset is 0.0 meV per atom.

abc: 3.859 3.859 4.795
angles: 90.00 90.00 120.00
Element x y z (fractional)
Te: 0.000 0.000 0.000
Pt: 0.667 0.333 0.297
Au: 0.333 0.667 0.614

=====

We obtain energy values of -4.938, -3.760, -4.836, -3.447, -4.397, -7.211, -3.629, -7.757, -4.177, -6.293, -1.749, -6.561, -4.912, -3.689, -4.762, -3.757, -5.821, -5.346, -3.600, -4.823 eV per atom for the records listed above, in that order.